Here is a relaxed structure of RbHgF2 from the Alexandria database. Energies are from PBE.

Results
Energy relative to the lowest polymorph listed for this composition ... 0.75 eV/f.u.
DOS at the Fermi energy ... 0.27 states/eV/cell

```
8
Lattice="6.255 0.000 0.000 0.000 6.255 0.000 3.128 3.128 5.462" Properties=species:S:1:pos:R:3 pbc="T T T"
F 7.819 8.048 4.096
F 4.920 1.564 1.365
F 1.335 4.691 1.365
F 4.691 4.463 4.096
Hg 6.255 3.128 2.731
Hg 0.000 0.000 0.000
Rb 3.128 6.255 2.731
Rb 3.128 3.128 0.000
```